[1]
Computed, not measured: an optimized crystal structure of LiGaBi3 at the PBE level of DFT.

Cell: 5.559 5.559 5.559 Å, 90.00 90.00 90.00°
Space group Pm-3m (No. 221)
Asymmetric unit:
Li 0.000 0.000 0.000
Ga 0.500 0.500 0.500
Bi 0.000 0.500 0.500

Summary:
Its volume is 34.35 Å³ per atom. The value obtained for the energy above the most stable polymorph in this dataset is 0.53 eV/f.u. As for the formation energy: 1.82 eV per formula unit. The calculation puts the total magnetic moment at 0.00 μB per atom.



[2]
Computed, not measured: an optimized crystal structure of LiGa3Bi at the PBE level of DFT.

Cell: 4.823 4.823 4.823 Å, 90.00 90.00 90.00°
Space group Pm-3m (No. 221)
Asymmetric unit:
Li 0.000 0.000 0.000
Ga 0.000 0.000 0.500
Bi 0.500 0.500 0.500

Summary:
Its volume is 22.43 Å³ per atom. The value obtained for the energy above the most stable polymorph in this dataset is 0.00 eV/f.u. As for the formation energy: 0.94 eV per formula unit. The calculation puts the total magnetic moment at 0.00 μB per atom.